No. 1
CuSnHgPd (PBE, relaxed); VASP energy = -3.355 eV/atom; calculated volume = 18.11 A^3/atom
1.0
6.617 0.000 0.000
0.000 6.617 0.000
0.000 0.000 6.617
Cu Sn Hg Pd
4 4 4 4
direct
0.000 0.000 0.000
0.000 0.500 0.500
0.500 0.000 0.500
0.500 0.500 0.000
0.250 0.250 0.750
0.250 0.750 0.250
0.750 0.250 0.250
0.750 0.750 0.750
0.250 0.250 0.250
0.250 0.750 0.750
0.750 0.250 0.750
0.750 0.750 0.250
0.000 0.000 0.500
0.000 0.500 0.000
0.500 0.000 0.000
0.500 0.500 0.500

No. 2
TaCuHgPd (PBE, relaxed); energy relative to the elements = 0.80 eV per formula unit; calculated volume = 16.37 A^3/atom; total moment = 0.01 μB per cell
1.0
6.399 0.000 0.000
0.000 6.399 0.000
0.000 0.000 6.399
Ta Cu Hg Pd
4 4 4 4
direct
0.000 0.000 0.000
0.000 0.500 0.500
0.500 0.000 0.500
0.500 0.500 0.000
0.250 0.250 0.250
0.250 0.750 0.750
0.750 0.250 0.750
0.750 0.750 0.250
0.250 0.250 0.750
0.250 0.750 0.250
0.750 0.250 0.250
0.750 0.750 0.750
0.000 0.000 0.500
0.000 0.500 0.000
0.500 0.000 0.000
0.500 0.500 0.500

No. 3
TaCuHgPd (PBE, relaxed); energy relative to the elements = 0.65 eV per formula unit; calculated volume = 16.55 A^3/atom; total moment = 0.00 μB per cell
1.0
6.421 0.000 0.000
0.000 6.421 0.000
0.000 0.000 6.421
Ta Cu Hg Pd
4 4 4 4
direct
0.000 0.000 0.000
0.000 0.500 0.500
0.500 0.000 0.500
0.500 0.500 0.000
0.000 0.000 0.500
0.000 0.500 0.000
0.500 0.000 0.000
0.500 0.500 0.500
0.250 0.250 0.250
0.250 0.750 0.750
0.750 0.250 0.750
0.750 0.750 0.250
0.250 0.250 0.750
0.250 0.750 0.250
0.750 0.250 0.250
0.750 0.750 0.750

No. 4
TaCuHgPd (PBE, relaxed); energy relative to the elements = 0.33 eV per formula unit; calculated volume = 16.29 A^3/atom; total moment = 0.01 μB per cell
1.0
6.387 0.000 0.000
0.000 6.387 0.000
0.000 0.000 6.387
Ta Cu Hg Pd
4 4 4 4
direct
0.000 0.000 0.000
0.000 0.500 0.500
0.500 0.000 0.500
0.500 0.500 0.000
0.250 0.250 0.250
0.250 0.750 0.750
0.750 0.250 0.750
0.750 0.750 0.250
0.000 0.000 0.500
0.000 0.500 0.000
0.500 0.000 0.000
0.500 0.500 0.500
0.250 0.250 0.750
0.250 0.750 0.250
0.750 0.250 0.250
0.750 0.750 0.750

No. 5
Cu2HgTe4Pd (PBE, relaxed); VASP energy = -3.277 eV/atom; calculated volume = 28.42 A^3/atom
1.0
6.046 0.000 0.000
0.000 6.046 0.000
0.000 0.000 12.441
Cu Hg Te Pd
4 2 8 2
direct
0.000 0.500 0.250
0.000 0.500 0.750
0.500 0.000 0.250
0.500 0.000 0.750
0.000 0.000 0.000
0.500 0.500 0.500
0.227 0.227 0.360
0.227 0.773 0.640
0.273 0.273 0.860
0.273 0.727 0.140
0.727 0.273 0.140
0.727 0.727 0.860
0.773 0.227 0.640
0.773 0.773 0.360
0.000 0.000 0.500
0.500 0.500 0.000

No. 6
TlCuHgPd (PBE, relaxed); VASP energy = -2.817 eV/atom; calculated volume = 18.59 A^3/atom
1.0
6.675 0.000 0.000
0.000 6.675 0.000
0.000 0.000 6.675
Tl Cu Hg Pd
4 4 4 4
direct
0.000 0.000 0.000
0.000 0.500 0.500
0.500 0.000 0.500
0.500 0.500 0.000
0.250 0.250 0.250
0.250 0.750 0.750
0.750 0.250 0.750
0.750 0.750 0.250
0.000 0.000 0.500
0.000 0.500 0.000
0.500 0.000 0.000
0.500 0.500 0.500
0.250 0.250 0.750
0.250 0.750 0.250
0.750 0.250 0.250
0.750 0.750 0.750

No. 7
PmCuHg (PBE, relaxed); energy relative to the elements = -0.63 eV per formula unit; calculated volume = 24.21 A^3/atom; total moment = 0.83 μB per cell
1.0
6.623 0.000 0.000
0.000 6.623 0.000
0.000 0.000 6.623
Pm Cu Hg
4 4 4
direct
0.000 0.000 0.000
0.000 0.500 0.500
0.500 0.000 0.500
0.500 0.500 0.000
0.250 0.250 0.750
0.250 0.750 0.250
0.750 0.250 0.250
0.750 0.750 0.750
0.000 0.000 0.500
0.000 0.500 0.000
0.500 0.000 0.000
0.500 0.500 0.500

No. 8
CuHgSbPt (PBE, relaxed); VASP energy = -3.421 eV/atom; calculated volume = 18.66 A^3/atom; total moment = 0.02 μB per cell
1.0
6.684 0.000 0.000
0.000 6.684 0.000
0.000 0.000 6.684
Cu Hg Sb Pt
4 4 4 4
direct
0.000 0.000 0.000
0.000 0.500 0.500
0.500 0.000 0.500
0.500 0.500 0.000
0.250 0.250 0.250
0.250 0.750 0.750
0.750 0.250 0.750
0.750 0.750 0.250
0.250 0.250 0.750
0.250 0.750 0.250
0.750 0.250 0.250
0.750 0.750 0.750
0.000 0.000 0.500
0.000 0.500 0.000
0.500 0.000 0.000
0.500 0.500 0.500

No. 9
TaCuHgPt (PBE, relaxed); energy relative to the elements = 0.13 eV per formula unit; calculated volume = 16.64 A^3/atom; total moment = 0.00 μB per cell
1.0
6.433 0.000 0.000
0.000 6.433 0.000
0.000 0.000 6.433
Ta Cu Hg Pt
4 4 4 4
direct
0.000 0.000 0.000
0.000 0.500 0.500
0.500 0.000 0.500
0.500 0.500 0.000
0.000 0.000 0.500
0.000 0.500 0.000
0.500 0.000 0.000
0.500 0.500 0.500
0.250 0.250 0.250
0.250 0.750 0.750
0.750 0.250 0.750
0.750 0.750 0.250
0.250 0.250 0.750
0.250 0.750 0.250
0.750 0.250 0.250
0.750 0.750 0.750

No. 10
TaCuHgPt (PBE, relaxed); energy relative to the elements = 0.73 eV per formula unit; calculated volume = 16.35 A^3/atom; total moment = 0.01 μB per cell
1.0
6.396 0.000 0.000
0.000 6.396 0.000
0.000 0.000 6.396
Ta Cu Hg Pt
4 4 4 4
direct
0.000 0.000 0.000
0.000 0.500 0.500
0.500 0.000 0.500
0.500 0.500 0.000
0.250 0.250 0.250
0.250 0.750 0.750
0.750 0.250 0.750
0.750 0.750 0.250
0.250 0.250 0.750
0.250 0.750 0.250
0.750 0.250 0.250
0.750 0.750 0.750
0.000 0.000 0.500
0.000 0.500 0.000
0.500 0.000 0.000
0.500 0.500 0.500

No. 11
TaCuHgPt (PBE, relaxed); energy relative to the elements = -0.08 eV per formula unit; calculated volume = 16.48 A^3/atom; total moment = 0.00 μB per cell
1.0
6.413 0.000 0.000
0.000 6.413 0.000
0.000 0.000 6.413
Ta Cu Hg Pt
4 4 4 4
direct
0.000 0.000 0.000
0.000 0.500 0.500
0.500 0.000 0.500
0.500 0.500 0.000
0.250 0.250 0.250
0.250 0.750 0.750
0.750 0.250 0.750
0.750 0.750 0.250
0.000 0.000 0.500
0.000 0.500 0.000
0.500 0.000 0.000
0.500 0.500 0.500
0.250 0.250 0.750
0.250 0.750 0.250
0.750 0.250 0.250
0.750 0.750 0.750

No. 12
ZnCuHgPt (PBE, relaxed); energy relative to the elements = -0.21 eV per formula unit; calculated volume = 15.97 A^3/atom; total moment = 0.00 μB per cell
1.0
6.345 0.000 0.000
0.000 6.345 0.000
0.000 0.000 6.345
Zn Cu Hg Pt
4 4 4 4
direct
0.000 0.000 0.000
0.000 0.500 0.500
0.500 0.000 0.500
0.500 0.500 0.000
0.250 0.250 0.250
0.250 0.750 0.750
0.750 0.250 0.750
0.750 0.750 0.250
0.000 0.000 0.500
0.000 0.500 0.000
0.500 0.000 0.000
0.500 0.500 0.500
0.250 0.250 0.750
0.250 0.750 0.250
0.750 0.250 0.250
0.750 0.750 0.750

No. 13
Rb2CuHgSb2 (PBE, relaxed); VASP energy = -2.591 eV/atom; calculated volume = 35.95 A^3/atom
1.0
4.686 0.000 0.000
-2.343 4.058 0.000
0.000 0.000 11.343
Rb Cu Hg Sb
2 1 1 2
direct
0.000 0.000 0.238
0.000 0.000 0.762
0.333 0.667 0.000
0.667 0.333 0.500
0.333 0.667 0.500
0.667 0.333 0.000

No. 14
CuReHgSb (PBE, relaxed); VASP energy = -3.999 eV/atom; calculated volume = 19.04 A^3/atom; total moment = 7.12 μB per cell
1.0
6.729 0.000 0.000
0.000 6.729 0.000
0.000 0.000 6.729
Cu Re Hg Sb
4 4 4 4
direct
0.000 0.000 0.000
0.000 0.500 0.500
0.500 0.000 0.500
0.500 0.500 0.000
0.250 0.250 0.250
0.250 0.750 0.750
0.750 0.250 0.750
0.750 0.750 0.250
0.000 0.000 0.500
0.000 0.500 0.000
0.500 0.000 0.000
0.500 0.500 0.500
0.250 0.250 0.750
0.250 0.750 0.250
0.750 0.250 0.250
0.750 0.750 0.750

No. 15
CuReHgSb (PBE, relaxed); VASP energy = -4.403 eV/atom; calculated volume = 17.80 A^3/atom; total moment = 0.04 μB per cell
1.0
6.580 0.000 0.000
0.000 6.580 0.000
0.000 0.000 6.580
Cu Re Hg Sb
4 4 4 4
direct
0.000 0.000 0.000
0.000 0.500 0.500
0.500 0.000 0.500
0.500 0.500 0.000
0.000 0.000 0.500
0.000 0.500 0.000
0.500 0.000 0.000
0.500 0.500 0.500
0.250 0.250 0.250
0.250 0.750 0.750
0.750 0.250 0.750
0.750 0.750 0.250
0.250 0.250 0.750
0.250 0.750 0.250
0.750 0.250 0.250
0.750 0.750 0.750

No. 16
CuReSiHg (PBE, relaxed); VASP energy = -4.840 eV/atom; calculated volume = 15.28 A^3/atom; total moment = 0.00 μB per cell
1.0
6.253 0.000 0.000
0.000 6.253 0.000
0.000 0.000 6.253
Cu Re Si Hg
4 4 4 4
direct
0.000 0.000 0.000
0.000 0.500 0.500
0.500 0.000 0.500
0.500 0.500 0.000
0.000 0.000 0.500
0.000 0.500 0.000
0.500 0.000 0.000
0.500 0.500 0.500
0.250 0.250 0.750
0.250 0.750 0.250
0.750 0.250 0.250
0.750 0.750 0.750
0.250 0.250 0.250
0.250 0.750 0.750
0.750 0.250 0.750
0.750 0.750 0.250

No. 17
CuReSiHg (PBE, relaxed); VASP energy = -4.340 eV/atom; calculated volume = 15.93 A^3/atom; total moment = 0.29 μB per cell
1.0
6.341 0.000 0.000
0.000 6.341 0.000
0.000 0.000 6.341
Cu Re Si Hg
4 4 4 4
direct
0.000 0.000 0.000
0.000 0.500 0.500
0.500 0.000 0.500
0.500 0.500 0.000
0.250 0.250 0.250
0.250 0.750 0.750
0.750 0.250 0.750
0.750 0.750 0.250
0.250 0.250 0.750
0.250 0.750 0.250
0.750 0.250 0.250
0.750 0.750 0.750
0.000 0.000 0.500
0.000 0.500 0.000
0.500 0.000 0.000
0.500 0.500 0.500

No. 18
CuReSnHg (PBE, relaxed); VASP energy = -4.422 eV/atom; calculated volume = 17.56 A^3/atom; total moment = 0.03 μB per cell
1.0
6.550 0.000 0.000
0.000 6.550 0.000
0.000 0.000 6.550
Cu Re Sn Hg
4 4 4 4
direct
0.000 0.000 0.000
0.000 0.500 0.500
0.500 0.000 0.500
0.500 0.500 0.000
0.000 0.000 0.500
0.000 0.500 0.000
0.500 0.000 0.000
0.500 0.500 0.500
0.250 0.250 0.750
0.250 0.750 0.250
0.750 0.250 0.250
0.750 0.750 0.750
0.250 0.250 0.250
0.250 0.750 0.750
0.750 0.250 0.750
0.750 0.750 0.250

No. 19
CuReSnHg (PBE, relaxed); VASP energy = -4.069 eV/atom; calculated volume = 18.52 A^3/atom; total moment = 9.47 μB per cell
1.0
6.667 0.000 0.000
0.000 6.667 0.000
0.000 0.000 6.667
Cu Re Sn Hg
4 4 4 4
direct
0.000 0.000 0.000
0.000 0.500 0.500
0.500 0.000 0.500
0.500 0.500 0.000
0.250 0.250 0.250
0.250 0.750 0.750
0.750 0.250 0.750
0.750 0.750 0.250
0.250 0.250 0.750
0.250 0.750 0.250
0.750 0.250 0.250
0.750 0.750 0.750
0.000 0.000 0.500
0.000 0.500 0.000
0.500 0.000 0.000
0.500 0.500 0.500

No. 20
TlCuReHg (PBE, relaxed); VASP energy = -3.554 eV/atom; calculated volume = 18.91 A^3/atom; total moment = 10.25 μB per cell
1.0
6.713 0.000 0.000
0.000 6.713 0.000
0.000 0.000 6.713
Tl Cu Re Hg
4 4 4 4
direct
0.000 0.000 0.000
0.000 0.500 0.500
0.500 0.000 0.500
0.500 0.500 0.000
0.250 0.250 0.250
0.250 0.750 0.750
0.750 0.250 0.750
0.750 0.750 0.250
0.000 0.000 0.500
0.000 0.500 0.000
0.500 0.000 0.000
0.500 0.500 0.500
0.250 0.250 0.750
0.250 0.750 0.250
0.750 0.250 0.250
0.750 0.750 0.750